Below is an optimized crystal structure of TbZrNO, with properties calculated at the PBE level.

Summary:
symmetry = Pmc2_1, No. 26
DFT total energy = -8.49 eV/atom
V = 16.51 A^3/atom
total magnetic moment = 0.032 μB/atom

Structure (POSCAR):
```
TbZrNO
1.0
-0.389 -2.077 2.914
0.179 -4.841 -3.426
6.143 -0.234 0.652
O Tb Zr N
2 2 2 2
direct
0.500 0.334 0.207
0.500 0.834 0.793
0.000 0.518 0.326
0.000 0.018 0.674
0.500 0.473 0.867
0.500 0.973 0.133
0.000 0.929 0.315
0.000 0.429 0.685
```


Below is an optimized crystal structure of TcTeNO, with properties calculated at the PBE level.

Summary:
symmetry = P4/nmm, No. 129
DFT total energy = -6.53 eV/atom
V = 13.58 A^3/atom
total magnetic moment = 0.001 μB/atom

Structure (POSCAR):
```
TcTeNO
1.0
-3.242 -0.622 -2.099
1.409 -3.464 -1.150
-3.040 -3.100 5.615
N Te Tc O
2 2 2 2
direct
0.250 0.250 0.604
0.750 0.750 0.396
0.250 0.250 0.179
0.750 0.750 0.821
0.750 0.250 0.500
0.250 0.750 0.500
0.250 0.750 0.000
0.750 0.250 0.000
```


Below is an optimized crystal structure of TcTeNO, with properties calculated at the PBE level.

Summary:
symmetry = Pmc2_1, No. 26
DFT total energy = -6.71 eV/atom
V = 15.70 A^3/atom
total magnetic moment = 0.003 μB/atom

Structure (POSCAR):
```
TcTeNO
1.0
3.007 0.000 0.000
0.000 6.248 0.000
0.000 0.000 6.687
N O Tc Te
2 2 2 2
direct
0.000 0.657 0.212
0.000 0.343 0.712
0.500 0.758 0.600
0.500 0.242 0.100
0.000 0.406 0.977
0.000 0.593 0.477
0.500 0.781 0.958
0.500 0.219 0.458
```


Below is an optimized crystal structure of TcTeNO, with properties calculated at the PBE level.

Summary:
symmetry = P4/nmm, No. 129
DFT total energy = -6.74 eV/atom
V = 20.00 A^3/atom
total magnetic moment = 0.000 μB/atom

Structure (POSCAR):
```
TcTeNO
1.0
-2.560 3.170 -0.078
0.552 0.546 4.001
7.381 5.915 -1.825
Tc N Te O
2 2 2 2
direct
0.250 0.250 0.930
0.750 0.750 0.070
0.250 0.250 0.760
0.750 0.750 0.240
0.750 0.250 0.500
0.250 0.750 0.500
0.250 0.750 0.000
0.750 0.250 0.000
```


Below is an optimized crystal structure of TcTeNO, with properties calculated at the PBE level.

Summary:
symmetry = Pmc2_1, No. 26
DFT total energy = -6.87 eV/atom
V = 15.59 A^3/atom
total magnetic moment = 0.000 μB/atom

Structure (POSCAR):
```
TcTeNO
1.0
-2.763 0.514 1.009
-0.447 -5.577 1.615
2.664 1.654 6.452
O N Tc Te
2 2 2 2
direct
0.500 0.894 0.763
0.500 0.106 0.263
0.000 0.773 0.097
0.000 0.227 0.597
0.500 0.976 0.020
0.500 0.024 0.520
0.000 0.623 0.366
0.000 0.377 0.866
```


Below is an optimized crystal structure of TcTeNO, with properties calculated at the PBE level.

Summary:
symmetry = Pca2_1, No. 29
DFT total energy = -6.66 eV/atom
V = 14.13 A^3/atom
total magnetic moment = 0.000 μB/atom

Structure (POSCAR):
```
TcTeNO
1.0
-4.354 -2.063 -1.602
3.136 -4.884 -2.235
-0.729 -3.344 6.287
O Te N Tc
4 4 4 4
direct
0.166 0.382 0.506
0.166 0.882 0.494
0.666 0.118 0.506
0.666 0.618 0.494
0.979 0.032 0.827
0.479 0.968 0.173
0.979 0.532 0.173
0.479 0.468 0.827
0.572 0.504 0.112
0.072 0.496 0.888
0.072 0.996 0.112
0.572 0.004 0.888
0.986 0.659 0.661
0.986 0.159 0.339
0.486 0.841 0.661
0.486 0.341 0.339
```


Below is an optimized crystal structure of TlTcNO, with properties calculated at the PBE level.

Summary:
symmetry = Pmc2_1, No. 26
DFT total energy = -6.75 eV/atom
V = 17.29 A^3/atom
total magnetic moment = 0.000 μB/atom

Structure (POSCAR):
```
TlTcNO
1.0
-0.457 -3.213 0.104
5.785 -0.869 -1.449
1.714 -0.022 6.856
Tc N O Tl
2 2 2 2
direct
0.500 0.501 0.837
0.500 0.001 0.163
0.000 0.992 0.298
0.000 0.492 0.702
0.500 0.257 0.007
0.500 0.757 0.993
0.000 0.504 0.331
0.000 0.004 0.669
```


Below is an optimized crystal structure of TlTcNO, with properties calculated at the PBE level.

Summary:
symmetry = Pca2_1, No. 29
DFT total energy = -6.81 eV/atom
V = 16.57 A^3/atom
total magnetic moment = 0.004 μB/atom

Structure (POSCAR):
```
TlTcNO
1.0
-2.990 -3.873 4.414
4.522 -5.709 -1.947
3.518 1.519 3.716
Tl Tc N O
4 4 4 4
direct
0.085 0.642 0.006
0.585 0.358 0.006
0.915 0.358 0.506
0.415 0.642 0.506
0.430 0.065 0.515
0.070 0.065 0.015
0.930 0.935 0.515
0.570 0.935 0.015
0.329 0.027 0.177
0.829 0.973 0.177
0.671 0.973 0.677
0.171 0.027 0.677
0.496 0.308 0.504
0.504 0.692 0.004
0.996 0.692 0.504
0.004 0.308 0.004
```


Below is an optimized crystal structure of TlTcNO, with properties calculated at the PBE level.

Summary:
symmetry = P4/nmm, No. 129
DFT total energy = -6.45 eV/atom
V = 14.09 A^3/atom
total magnetic moment = 0.080 μB/atom

Structure (POSCAR):
```
TlTcNO
1.0
-2.485 -2.870 0.868
2.794 -1.806 2.025
-2.080 3.655 6.130
O Tl N Tc
2 2 2 2
direct
0.500 0.500 0.000
0.000 0.000 0.000
0.000 0.500 0.844
0.500 0.000 0.156
0.500 0.000 0.595
0.000 0.500 0.405
0.000 0.000 0.500
0.500 0.500 0.500
```


Below is an optimized crystal structure of TlTcNO, with properties calculated at the PBE level.

Summary:
symmetry = Pca2_1, No. 29
DFT total energy = -6.68 eV/atom
V = 16.53 A^3/atom
total magnetic moment = 0.002 μB/atom

Structure (POSCAR):
```
TlTcNO
1.0
-2.857 -1.063 4.072
-3.582 -3.946 -3.543
4.950 -6.167 1.864
Tc Tl N O
4 4 4 4
direct
0.534 0.345 0.628
0.534 0.845 0.372
0.034 0.655 0.372
0.034 0.155 0.628
0.500 0.913 0.833
0.000 0.087 0.167
0.500 0.413 0.167
0.000 0.587 0.833
0.983 0.592 0.171
0.483 0.408 0.829
0.483 0.908 0.171
0.983 0.092 0.829
0.685 0.087 0.504
0.185 0.413 0.504
0.185 0.913 0.496
0.685 0.587 0.496
```


Below is an optimized crystal structure of TlTcNO, with properties calculated at the PBE level.

Summary:
symmetry = P4/nmm, No. 129
DFT total energy = -6.48 eV/atom
V = 18.33 A^3/atom
total magnetic moment = 0.005 μB/atom

Structure (POSCAR):
```
TlTcNO
1.0
-1.420 -2.805 2.689
-0.386 -2.747 -3.070
8.007 -2.701 1.411
O Tc Tl N
2 2 2 2
direct
0.500 0.500 0.000
0.000 0.000 0.000
0.000 0.500 0.072
0.500 0.000 0.928
0.000 0.000 0.500
0.500 0.500 0.500
0.000 0.500 0.267
0.500 0.000 0.733
```


Below is an optimized crystal structure of TlTcNO, with properties calculated at the PBE level.

Summary:
symmetry = Pmc2_1, No. 26
DFT total energy = -6.80 eV/atom
V = 17.43 A^3/atom
total magnetic moment = 0.000 μB/atom

Structure (POSCAR):
```
TlTcNO
1.0
3.434 0.000 0.000
0.000 6.872 0.000
0.000 0.000 5.909
Tc N Tl O
2 2 2 2
direct
0.000 0.157 0.501
0.000 0.843 0.001
0.000 0.999 0.252
0.000 0.001 0.752
0.500 0.314 0.001
0.500 0.686 0.501
0.500 0.702 0.000
0.500 0.298 0.500
```